Entry 1:
Entry from the Alexandria database: an optimized crystal structure of Ag2SnF6 (GGA-PBE).

Unit cell a=5.3888 b=5.3888 c=10.7332 alpha=90.00 beta=90.00 gamma=90.00
Sites, in units of the cell vectors:
F 0.6811 0.6811 0.8628
F 0.7367 0.7367 0.5000
Sn 0.0000 0.0000 0.5000
Ag 0.0000 0.0000 0.1612
F 0.2633 0.2633 0.5000
F 0.6811 0.6811 0.1372
F 0.1811 0.8189 0.3628
Ag 0.5000 0.5000 0.3388
Sn 0.5000 0.5000 0.0000
Ag 0.0000 0.0000 0.8388
F 0.3189 0.3189 0.8628
F 0.8189 0.1811 0.3628
F 0.3189 0.3189 0.1372
F 0.7633 0.2367 0.0000
Ag 0.5000 0.5000 0.6612
F 0.8189 0.1811 0.6372
F 0.2367 0.7633 0.0000
F 0.1811 0.8189 0.6372

Computed properties:
- Space group: P4_2/mnm, No. 136
- Energy: -4.194 eV per atom
- Raw formation energy: -1.868 eV per atom
- Energy relative to the lowest polymorph listed for this composition: 0.000 eV/atom

Entry 2:
Entry from the Alexandria database: an optimized crystal structure of CaSc2BeP (GGA-PBE).

Unit cell a=5.2136 b=4.4625 c=5.2136 alpha=90.00 beta=90.00 gamma=90.00
Last column: magnetic moment on the atom in μB.
Sites, in units of the cell vectors:
Sc 0.5000 0.0000 0.0000  0.16
P 0.5000 0.5000 0.5000  0.03
Ca 0.0000 0.0000 0.0000  0.13
Sc 0.0000 0.0000 0.5000  0.24
Be 0.0000 0.5000 0.0000  0.01

Computed properties:
- Space group: P4/mmm, No. 123
- Formation energy: 1562.3 meV/atom
- Energy: -3.198 eV per atom

Entry 3:
Entry from the Alexandria database: an optimized crystal structure of NaBi7Pd4 (GGA-PBE).

Unit cell a=5.3649 b=8.6768 c=7.5159 alpha=81.82 beta=69.09 gamma=71.99
Sites, in units of the cell vectors:
Bi 0.3457 0.5960 0.7126
Pd 0.7108 0.6783 0.9000
Na 0.0000 0.0000 0.0000
Bi 0.7863 0.8751 0.5523
Bi 0.2137 0.1249 0.4477
Pd 0.4444 0.7673 0.3439
Bi 0.6543 0.4040 0.2874
Bi 0.0878 0.6497 0.1746
Pd 0.5556 0.2327 0.6561
Pd 0.2892 0.3217 0.1000
Bi 0.5000 0.0000 0.0000
Bi 0.9122 0.3503 0.8254

Computed properties:
- Space group: C2/m, No. 12
- Formation energy: -117.1 meV/atom
- Energy: -4.222 eV per atom

Entry 4:
Entry from the Alexandria database: an optimized crystal structure of BaGa3Os (GGA-PBE).

Unit cell a=4.8853 b=4.8853 c=10.0037 alpha=90.00 beta=90.00 gamma=120.00
Sites, in units of the cell vectors:
Ga 0.3333 0.6667 0.4349
Os 0.0000 0.0000 0.0000
Ga 0.6667 0.3333 0.9349
Ga 0.3333 0.6667 0.0651
Ga 0.0000 0.0000 0.7500
Ga 0.0000 0.0000 0.2500
Ba 0.3333 0.6667 0.7500
Ba 0.6667 0.3333 0.2500
Os 0.0000 0.0000 0.5000
Ga 0.6667 0.3333 0.5651

Computed properties:
- Space group: P6_3/mmc, No. 194
- Formation energy: 48.1 meV/atom
- Energy: -4.399 eV per atom
- Energy relative to the lowest polymorph listed for this composition: 0.446 eV/atom

Entry 5:
Entry from the Alexandria database: an optimized crystal structure of NpAlZn (GGA-PBE).

Unit cell a=2.8356 b=4.7694 c=4.7694 alpha=120.00 beta=90.00 gamma=90.00
Last column: magnetic moment on the atom in μB.
Sites, in units of the cell vectors:
Al 0.8336 0.3333 0.6667  -0.03
Zn 0.8330 0.0000 0.0000  -0.01
Np 0.3334 0.6667 0.3333  3.85

Computed properties:
- Space group: P-6m2, No. 187
- Formation energy: -53.8 meV/atom
- Energy: -6.040 eV per atom

Entry 6:
Entry from the Alexandria database: an optimized crystal structure of LaTb2PbC (GGA-PBE).

Unit cell a=5.2008 b=4.9886 c=4.9886 alpha=90.00 beta=90.00 gamma=90.00
Sites, in units of the cell vectors:
Tb 0.0000 0.0000 0.5000
C 0.0000 0.0000 0.0000
Tb 0.0000 0.5000 0.0000
La 0.5000 0.0000 0.0000
Pb 0.5000 0.5000 0.5000

Computed properties:
- Space group: P4/mmm, No. 123
- Formation energy: -467.6 meV/atom
- Energy: -5.892 eV per atom

Entry 7:
Entry from the Alexandria database: an optimized crystal structure of BeCu2Au (GGA-PBE).

Unit cell a=3.7403 b=2.7619 c=5.1131 alpha=74.08 beta=90.00 gamma=90.00
Sites, in units of the cell vectors:
Au 0.0000 0.5436 0.5405
Cu 0.5000 0.2065 0.2091
Be 0.5000 0.9434 0.7415
Cu 0.0000 0.8066 0.0089

Computed properties:
- Space group: Pm, No. 6
- Formation energy: -8.2 meV/atom
- Energy: -3.807 eV per atom

Entry 8:
Entry from the Alexandria database: an optimized crystal structure of LiAgSb2Pb2 (GGA-PBE).

Unit cell a=6.6242 b=6.6486 c=8.6812 alpha=112.52 beta=112.43 gamma=90.00
Sites, in units of the cell vectors:
Ag 0.5000 0.7500 0.0000
Ag 0.5000 0.2500 0.0000
Pb 0.4200 0.1630 0.3259
Sb 0.1215 0.8806 0.7613
Sb 0.8785 0.1194 0.2387
Sb 0.6398 0.3806 0.7613
Pb 0.9059 0.6630 0.3259
Pb 0.5800 0.8370 0.6741
Sb 0.3602 0.6194 0.2387
Pb 0.0941 0.3370 0.6741
Li 0.0000 0.7500 0.0000
Li 0.0000 0.2500 0.0000

Computed properties:
- Space group: Ibam, No. 72
- Energy: -3.544 eV per atom
- Raw formation energy: -0.139 eV per atom

Which value of energy does entry 1 give? -4.194 eV per atom